LiTbPmHg: relaxed, GGA-PBE.

Lattice parameters (Å, degrees): 7.4941 7.4941 7.4941 90.00 90.00 90.00
Space group F-43m (No. 216)
One atom of each set of equivalent atoms:
Li: 0.0000 0.0000 0.0000 (multiplicity 4)
Tb: 0.2500 0.2500 0.7500 (multiplicity 4)
Pm: 0.2500 0.2500 0.2500 (multiplicity 4)
Hg: 0.0000 0.0000 0.5000 (multiplicity 4)

Its crystal system is cubic. Its formation enthalpy at 0 K is -206 meV/atom. As for the calculated total energy: -3.105 eV/atom. The volume comes out at 420.9 Å³ per cell.